# PBE-GGA TaFe, optimized geometry
# * N(E_F): 8.66 states/eV/cell
# * density: 13.28 g/cm³
# * total magnetic moment: 0.0 μB/cell
# * electronic total energy: -10.07 eV per atom
# * symmetry: P2_13, No. 198
data_TaFe
_chemical_formula_sum 'Ta4 Fe4'
_symmetry_space_group_name_H-M 'P 1'
_symmetry_Int_Tables_number 1
_cell_length_a 4.911
_cell_length_b 4.911
_cell_length_c 4.911
_cell_angle_alpha 90.00
_cell_angle_beta 90.00
_cell_angle_gamma 90.00
loop_
_symmetry_equiv_pos_as_xyz
'x,y,z'
loop_
_atom_site_label
_atom_site_type_symbol
_atom_site_fract_x
_atom_site_fract_y
_atom_site_fract_z
Ta1 Ta 0.085 0.085 0.085
Ta2 Ta 0.585 0.415 0.915
Ta3 Ta 0.415 0.915 0.585
Ta4 Ta 0.915 0.585 0.415
Fe1 Fe 0.576 0.924 0.076
Fe2 Fe 0.076 0.576 0.924
Fe3 Fe 0.424 0.424 0.424
Fe4 Fe 0.924 0.076 0.576

---

# PBE-GGA TaFe, optimized geometry
# * N(E_F): 4.20 states/eV/cell
# * density: 13.28 g/cm³
# * total magnetic moment: 4.5 μB/cell
# * electronic total energy: -10.18 eV per atom
# * symmetry: C2/m, No. 12
data_TaFe
_chemical_formula_sum 'Ta3 Fe3'
_symmetry_space_group_name_H-M 'P 1'
_symmetry_Int_Tables_number 1
_cell_length_a 5.198
_cell_length_b 5.198
_cell_length_c 6.072
_cell_angle_alpha 72.13
_cell_angle_beta 72.13
_cell_angle_gamma 34.89
loop_
_symmetry_equiv_pos_as_xyz
'x,y,z'
loop_
_atom_site_label
_atom_site_type_symbol
_atom_site_fract_x
_atom_site_fract_y
_atom_site_fract_z
Fe1 Fe 0.500 0.500 0.500
Fe2 Fe 0.160 0.160 0.663
Fe3 Fe 0.840 0.840 0.337
Ta1 Ta 0.171 0.171 0.198
Ta2 Ta 0.500 0.500 0.000
Ta3 Ta 0.829 0.829 0.802

---

# PBE-GGA Ta5Fe4, optimized geometry
# * N(E_F): 14.93 states/eV/cell
# * density: 13.91 g/cm³
# * total magnetic moment: 0.0 μB/cell
# * electronic total energy: -10.33 eV per atom
# * excess energy over the best structure of this formula in the dataset: 0.0 meV/atom
# * symmetry: P6_3/mcm, No. 193
data_Ta5Fe4
_chemical_formula_sum 'Ta10 Fe8'
_symmetry_space_group_name_H-M 'P 1'
_symmetry_Int_Tables_number 1
_cell_length_a 7.746
_cell_length_b 7.746
_cell_length_c 5.181
_cell_angle_alpha 90.00
_cell_angle_beta 90.00
_cell_angle_gamma 60.00
loop_
_symmetry_equiv_pos_as_xyz
'x,y,z'
loop_
_atom_site_label
_atom_site_type_symbol
_atom_site_fract_x
_atom_site_fract_y
_atom_site_fract_z
Ta1 Ta 0.278 0.722 0.250
Ta2 Ta 0.722 0.278 0.750
Ta3 Ta 0.333 0.333 0.000
Ta4 Ta 0.667 0.667 0.500
Ta5 Ta 0.278 0.000 0.750
Ta6 Ta 0.000 0.722 0.750
Ta7 Ta 0.000 0.278 0.250
Ta8 Ta 0.333 0.333 0.500
Ta9 Ta 0.722 0.000 0.250
Ta10 Ta 0.667 0.667 0.000
Fe1 Fe 0.000 0.000 0.000
Fe2 Fe 0.595 0.000 0.750
Fe3 Fe 0.000 0.405 0.750
Fe4 Fe 0.000 0.000 0.500
Fe5 Fe 0.000 0.595 0.250
Fe6 Fe 0.405 0.000 0.250
Fe7 Fe 0.405 0.595 0.750
Fe8 Fe 0.595 0.405 0.250

---

# PBE-GGA Ta3Fe2, optimized geometry
# * N(E_F): 8.20 states/eV/cell
# * density: 14.26 g/cm³
# * total magnetic moment: 3.4 μB/cell
# * electronic total energy: -10.60 eV per atom
# * symmetry: P4/mmm, No. 123
data_Ta3Fe2
_chemical_formula_sum 'Ta6 Fe4'
_symmetry_space_group_name_H-M 'P 1'
_symmetry_Int_Tables_number 1
_cell_length_a 3.092
_cell_length_b 3.092
_cell_length_c 15.939
_cell_angle_alpha 90.00
_cell_angle_beta 90.00
_cell_angle_gamma 90.00
loop_
_symmetry_equiv_pos_as_xyz
'x,y,z'
loop_
_atom_site_label
_atom_site_type_symbol
_atom_site_fract_x
_atom_site_fract_y
_atom_site_fract_z
Ta1 Ta 0.000 0.000 0.117
Ta2 Ta 0.000 0.000 0.310
Ta3 Ta 0.500 0.500 0.000
Ta4 Ta 0.000 0.000 0.500
Ta5 Ta 0.000 0.000 0.883
Ta6 Ta 0.000 0.000 0.690
Fe1 Fe 0.500 0.500 0.597
Fe2 Fe 0.500 0.500 0.788
Fe3 Fe 0.500 0.500 0.212
Fe4 Fe 0.500 0.500 0.403

---

Computed formation energy, in the same sequence as the records: 0.2 0.0 0.1 -0.5 eV/f.u..